Entry 1:
Computed, not measured: crystalline SmReSi2Ru at its relaxed geometry at the PBE level of DFT.

Output
The value obtained for the density of states at the Fermi level is 4.2 states/eV/f.u. The value obtained for the formation energy from raw total energies is -0.640 eV per atom.

a b c (Å): 4.2034 4.2034 5.7730
angles (deg): 111.35 111.35 90.00
With the nearest neighbours (Å) after each atom.
Element x y z (fractional)
1 Ru 0.2500 0.7500 0.5000  4 Si 2.42
2 Si 0.6290 0.6290 0.2580  2 Ru 2.42, 2 Re 2.42, 1 Si 2.55
3 Si 0.3710 0.3710 0.7420  2 Re 2.42, 2 Ru 2.42, 1 Si 2.55
4 Sm 0.0000 0.0000 0.0000  8 Si 3.23, 4 Re 3.25, 4 Ru 3.25
5 Re 0.7500 0.2500 0.5000  4 Si 2.42

---

Entry 2:
Computed, not measured: crystalline ScNi2Ir at its relaxed geometry at the PBE level of DFT.

Output
The formation energy from the elements comes out at -0.303 eV/atom. The value obtained for the density of states at the Fermi level is 4.2 states/eV/f.u.

a b c (Å): 3.1618 3.1257 5.6868
angles (deg): 90.00 90.00 90.00
With the nearest neighbours (Å) after each atom.
Element x y z (fractional)
1 Ir 0.5000 0.5000 0.7744  5 Ni 2.53-2.62, 4 Sc 2.75
2 Ni 0.0000 0.0000 0.0173  4 Ni 2.50, 4 Ir 2.62, 1 Sc 2.69
3 Ni 0.5000 0.5000 0.2185  4 Ni 2.50, 1 Ir 2.53, 4 Sc 2.71
4 Sc 0.0000 0.0000 0.4898  6 Ni 2.69-3.00, 4 Ir 2.75

---

Entry 3:
Computed, not measured: crystalline SrEu3Ni at its relaxed geometry at the PBE level of DFT.

Output
The formation energy from the elements comes out at -0.049 eV/atom. The value obtained for the density of states at the Fermi level is 31.0 states/eV/f.u.

a b c (Å): 5.7652 5.7652 5.7652
angles (deg): 90.00 90.00 90.00
With the nearest neighbours (Å) after each atom.
Element x y z (fractional)
1 Sr 0.5000 0.5000 0.5000  12 Eu 4.08
2 Eu 0.5000 0.0000 0.0000  2 Ni 2.88
3 Eu 0.0000 0.0000 0.5000  2 Ni 2.88
4 Eu 0.0000 0.5000 0.0000  2 Ni 2.88
5 Ni 0.0000 0.0000 0.0000  6 Eu 2.88

---

Entry 4:
Computed, not measured: crystalline BiRhSe2 at its relaxed geometry at the PBE level of DFT.

Output
The value obtained for the density of states at the Fermi level is 0.0 states/eV/f.u. The value obtained for the formation energy from raw total energies is -0.224 eV per atom.

a b c (Å): 6.7877 11.1401 4.9157
angles (deg): 90.00 90.00 90.00
With the nearest neighbours (Å) after each atom.
Element x y z (fractional)
1 Se 0.9005 0.1922 0.0624  1 Rh 2.57
2 Se 0.4005 0.3078 0.0624  1 Rh 2.57
3 Se 0.1901 0.4251 0.5624  3 Rh 2.45-2.54
4 Se 0.6901 0.0749 0.5624  3 Rh 2.45-2.54
5 Se 0.0995 0.8078 0.5624  1 Rh 2.57
6 Se 0.5995 0.6922 0.5624  1 Rh 2.57
7 Se 0.8099 0.5749 0.0624  3 Rh 2.45-2.54
8 Se 0.3099 0.9251 0.0624  3 Rh 2.45-2.54
9 Bi 0.8664 0.8450 0.0624  1 Rh 2.69, 2 Se 2.95
10 Bi 0.6336 0.3450 0.5624  1 Rh 2.69, 2 Se 2.95
11 Bi 0.1336 0.1550 0.5624  1 Rh 2.69, 2 Se 2.95
12 Bi 0.3664 0.6550 0.0624  1 Rh 2.69, 2 Se 2.95
13 Rh 0.3779 0.9647 0.5625  4 Se 2.45-2.57, 1 Bi 2.69
14 Rh 0.1221 0.4647 0.0625  4 Se 2.45-2.57, 1 Bi 2.69
15 Rh 0.6221 0.0353 0.0625  4 Se 2.45-2.57, 1 Bi 2.69
16 Rh 0.8779 0.5353 0.5625  4 Se 2.45-2.57, 1 Bi 2.69

---

Entry 5:
Computed, not measured: crystalline KLa2ZnO5 at its relaxed geometry at the PBE level of DFT.

Output
The value obtained for the density of states at the Fermi level is 6.5 states/eV/f.u. The value obtained for the formation energy from raw total energies is -2.386 eV per atom.

a b c (Å): 6.9739 6.9739 7.6270
angles (deg): 117.21 117.21 90.00
With the nearest neighbours (Å) after each atom.
Element x y z (fractional)
1 K 0.7500 0.7500 0.5000  10 O 2.91-3.06
2 K 0.2500 0.2500 0.5000  10 O 2.91-3.06
3 O 0.5098 0.7359 0.7457  1 Zn 1.97
4 O 0.7641 0.9902 0.2543  1 Zn 1.97
5 O 0.5000 0.5000 0.0000  4 La 2.57
6 O 0.9902 0.4902 0.2543  1 Zn 1.97
7 O 0.2359 0.0098 0.7457  1 Zn 1.97
8 O 0.4902 0.2641 0.2543  1 Zn 1.97
9 O 0.0098 0.5098 0.7457  1 Zn 1.97
10 O 0.0000 0.0000 0.0000  4 La 2.57
11 O 0.7359 0.2359 0.7457  1 Zn 1.97
12 O 0.2641 0.7641 0.2543  1 Zn 1.97
13 La 0.8236 0.6764 0.0000  4 O 2.36-2.57
14 La 0.6764 0.1764 0.0000  4 O 2.36-2.57
15 La 0.3236 0.8236 0.0000  4 O 2.36-2.57
16 La 0.1764 0.3236 0.0000  4 O 2.36-2.57
17 Zn 0.2500 0.7500 0.5000  4 O 1.97
18 Zn 0.7500 0.2500 0.5000  4 O 1.97

---

Entry 6:
Computed, not measured: crystalline Na3PaSb2Se6 at its relaxed geometry at the PBE level of DFT.

Output
The value obtained for the density of states at the Fermi level is 7.2 states/eV/f.u. The value obtained for the formation energy from raw total energies is -0.833 eV per atom.

a b c (Å): 7.4129 7.4129 7.2856
angles (deg): 99.67 99.67 120.30
With the nearest neighbours (Å) after each atom.
Element x y z (fractional)
1 Se 0.5969 0.9223 0.7701  1 Pa 2.89, 2 Sb 2.94-2.98, 3 Na 3.06-3.07
2 Se 0.2500 0.2500 0.7692  1 Pa 2.89, 2 Sb 2.94, 3 Na 3.11-3.13
3 Se 0.9223 0.5969 0.7701  1 Pa 2.89, 2 Sb 2.94-2.98, 3 Na 3.06-3.07
4 Se 0.7500 0.7500 0.2308  1 Pa 2.89, 2 Sb 2.94, 3 Na 3.11-3.13
5 Se 0.4031 0.0777 0.2299  1 Pa 2.89, 2 Sb 2.94-2.98, 3 Na 3.06-3.07
6 Se 0.0777 0.4031 0.2299  1 Pa 2.89, 2 Sb 2.94-2.98, 3 Na 3.06-3.07
7 Na 0.8258 0.1742 0.5000  6 Se 3.06-3.13
8 Na 0.5000 0.5000 0.5000  6 Se 3.06-3.11
9 Na 0.1742 0.8258 0.5000  6 Se 3.06-3.13
10 Pa 0.0000 0.0000 0.0000  6 Se 2.89
11 Sb 0.6650 0.3350 0.0000  6 Se 2.94-2.98
12 Sb 0.3350 0.6650 0.0000  6 Se 2.94-2.98

---

Entry 7:
Computed, not measured: crystalline InAg4Pd3 at its relaxed geometry at the PBE level of DFT.

Output
The formation energy from the elements comes out at -0.105 eV/atom. The value obtained for the density of states at the Fermi level is 3.8 states/eV/f.u.

a b c (Å): 2.9529 4.8949 10.5811
angles (deg): 114.09 98.02 90.00
With the nearest neighbours (Å) after each atom.
Element x y z (fractional)
1 Ag 0.1300 0.3865 0.2601  6 Ag 2.84-2.95, 4 Pd 2.84-3.00, 2 In 2.99
2 Ag 0.6274 0.8771 0.2548  6 Ag 2.84-2.95, 5 Pd 2.85-2.94, 1 In 2.97
3 Ag 0.8700 0.6135 0.7399  6 Ag 2.84-2.95, 4 Pd 2.84-3.00, 2 In 2.99
4 Ag 0.3726 0.1229 0.7452  6 Ag 2.84-2.95, 5 Pd 2.85-2.94, 1 In 2.97
5 In 0.5000 0.0000 0.0000  4 Pd 2.86, 2 In 2.95, 6 Ag 2.97-2.99
6 Pd 0.2490 0.2465 0.4980  6 Ag 2.84-2.89, 6 Pd 2.84-2.95
7 Pd 0.7510 0.7535 0.5020  6 Ag 2.84-2.89, 6 Pd 2.84-2.95
8 Pd 0.0000 0.5000 0.0000  4 In 2.86, 6 Ag 2.94-3.00, 2 Pd 2.95

---

Entry 8:
Computed, not measured: crystalline TlAsRuBr2 at its relaxed geometry at the PBE level of DFT.

Output
As for the relative energy among the computed polymorphs: 1198 meV/atom. The value obtained for the density of states at the Fermi level is 2.3 states/eV/f.u. The value obtained for the formation energy from raw total energies is 1.171 eV per atom.

a b c (Å): 5.6971 5.6971 5.4150
angles (deg): 90.00 90.00 90.00
With the nearest neighbours (Å) after each atom.
Element x y z (fractional)
1 As 0.0000 0.0000 0.5000  2 Tl 2.71
2 Tl 0.0000 0.0000 0.0000  2 As 2.71, 4 Br 2.85
3 Br 0.5000 0.0000 0.0000  2 Tl 2.85
4 Br 0.0000 0.5000 0.0000  2 Tl 2.85
5 Ru 0.5000 0.5000 0.5000  8 Br 3.93, 4 As 4.03

---

Entry 9:
Computed, not measured: crystalline Pm3Nd3Hg2 at its relaxed geometry at the PBE level of DFT.

Output
The formation energy from the elements comes out at -0.167 eV/atom. The value obtained for the density of states at the Fermi level is 10.6 states/eV/f.u.

a b c (Å): 5.3074 6.5879 16.0317
angles (deg): 90.00 90.00 113.75
With the nearest neighbours (Å) after each atom.
Element x y z (fractional)
1 Hg 0.2258 0.4516 0.1315  4 Pm 3.05-3.28, 3 Nd 3.20-3.27
2 Hg 0.7742 0.5484 0.8685  4 Pm 3.05-3.28, 3 Nd 3.20-3.27
3 Hg 0.2258 0.4516 0.3685  4 Pm 3.05-3.28, 3 Nd 3.20-3.27
4 Hg 0.7742 0.5484 0.6315  4 Pm 3.05-3.28, 3 Nd 3.20-3.27
5 Nd 0.9617 0.9235 0.3903  1 Hg 3.20, 2 Pm 3.49
6 Nd 0.0383 0.0765 0.6097  1 Hg 3.20, 2 Pm 3.49
7 Nd 0.2842 0.5684 0.7500  4 Hg 3.27, 3 Pm 3.37-3.64
8 Nd 0.9617 0.9235 0.1097  1 Hg 3.20, 2 Pm 3.49
9 Nd 0.0383 0.0765 0.8903  1 Hg 3.20, 2 Pm 3.49
10 Nd 0.7158 0.4316 0.2500  4 Hg 3.27, 3 Pm 3.37-3.64
11 Pm 0.6409 0.2818 0.4702  3 Hg 3.05-3.28
12 Pm 0.6409 0.2818 0.0298  3 Hg 3.05-3.28
13 Pm 0.5638 0.1276 0.7500  2 Hg 3.17, 5 Nd 3.37-3.49
14 Pm 0.3591 0.7182 0.5298  3 Hg 3.05-3.28
15 Pm 0.4362 0.8724 0.2500  2 Hg 3.17, 5 Nd 3.37-3.49
16 Pm 0.3591 0.7182 0.9702  3 Hg 3.05-3.28

---

Entry 10:
Computed, not measured: crystalline Ta3Nb4Au2 at its relaxed geometry at the PBE level of DFT.

Output
The formation energy from the elements comes out at -0.015 eV/atom. The value obtained for the density of states at the Fermi level is 7.9 states/eV/f.u.

a b c (Å): 3.5160 5.3623 9.6400
angles (deg): 72.81 90.00 109.14
With the nearest neighbours (Å) after each atom.
Element x y z (fractional)
1 Nb 0.0033 0.0066 0.3324  4 Ta 2.84, 2 Nb 2.88, 3 Au 2.91-3.12
2 Nb 0.3392 0.6784 0.8954  2 Ta 2.79, 4 Nb 2.85-2.88, 2 Au 2.92
3 Nb 0.6608 0.3216 0.1046  2 Ta 2.79, 4 Nb 2.85-2.88, 2 Au 2.92
4 Nb 0.9967 0.9934 0.6676  4 Ta 2.84, 2 Nb 2.88, 3 Au 2.91-3.12
5 Au 0.3270 0.6540 0.2266  5 Ta 2.88-3.16, 7 Nb 2.91-3.21
6 Au 0.6730 0.3460 0.7734  5 Ta 2.88-3.16, 7 Nb 2.91-3.21
7 Ta 0.0000 0.0000 0.0000  4 Nb 2.79, 4 Au 2.92
8 Ta 0.3391 0.6782 0.5502  4 Nb 2.84, 3 Au 2.88-3.16, 3 Ta 2.90-3.10
9 Ta 0.6609 0.3218 0.4498  4 Nb 2.84, 3 Au 2.88-3.16, 3 Ta 2.90-3.10

---

Entry 11:
Computed, not measured: crystalline SrGe2PdPt at its relaxed geometry at the PBE level of DFT.

Output
The formation energy from the elements comes out at -0.744 eV/atom. The value obtained for the density of states at the Fermi level is 2.9 states/eV/f.u.

a b c (Å): 4.4436 4.4436 6.0551
angles (deg): 111.53 111.53 90.00
With the nearest neighbours (Å) after each atom.
Element x y z (fractional)
1 Sr 0.0000 0.0000 0.0000  4 Pd 3.41, 4 Pt 3.41, 8 Ge 3.42
2 Ge 0.6307 0.6307 0.2613  2 Pt 2.54, 2 Pd 2.54, 1 Ge 2.71
3 Ge 0.3693 0.3693 0.7387  2 Pt 2.54, 2 Pd 2.54, 1 Ge 2.71
4 Pt 0.2500 0.7500 0.5000  4 Ge 2.54
5 Pd 0.7500 0.2500 0.5000  4 Ge 2.54

---

Entry 12:
Computed, not measured: crystalline Ce4SbAu at its relaxed geometry at the PBE level of DFT.

Output
The value obtained for the density of states at the Fermi level is 15.6 states/eV/f.u. The value obtained for the formation energy from raw total energies is -0.447 eV per atom.

a b c (Å): 5.5288 7.6680 8.6886
angles (deg): 104.18 108.55 90.00
With the nearest neighbours (Å) after each atom.
Element x y z (fractional)
1 Ce 0.5223 0.0308 0.8598  2 Ce 2.68-2.76
2 Ce 0.6624 0.4692 0.1401  2 Ce 2.68-2.76
3 Ce 0.3376 0.5308 0.8599  2 Ce 2.68-2.76
4 Ce 0.3455 0.6086 0.3211  1 Ce 2.76, 2 Au 3.00-3.05
5 Ce 0.9756 0.1086 0.3211  1 Ce 2.76, 2 Au 3.00-3.05
6 Ce 0.6545 0.3914 0.6789  1 Ce 2.76, 2 Au 3.00-3.05
7 Ce 0.0244 0.8914 0.6789  1 Ce 2.76, 2 Au 3.00-3.05
8 Ce 0.4777 0.9692 0.1402  2 Ce 2.68-2.76
9 Sb 0.0879 0.2500 0.0000  10 Ce 3.22-3.45
10 Sb 0.9121 0.7500 0.0000  10 Ce 3.22-3.45
11 Au 0.5000 0.0000 0.5000  6 Ce 3.00-3.05
12 Au 0.0000 0.5000 0.5000  6 Ce 3.00-3.05